# Mg2RhPb PBE relaxed
# - VASP energy (eV per atom) = -3.759
# - spin magnetization (μB per formula unit) = 0.00
# - formation energy from the elements (eV per atom) = -0.1965
# - density of states at the Fermi level (states/eV per atom) = 0.581
data_Mg2RhPb
_symmetry_space_group_name_H-M 'I -4 m 2'
_symmetry_Int_Tables_number 119
_symmetry_space_group_name_Hall 'I -4 -2'
_cell_length_a 4.249
_cell_length_b 4.249
_cell_length_c 8.440
_cell_angle_alpha 90.00
_cell_angle_beta 90.00
_cell_angle_gamma 90.00
loop_
_atom_site_label
_atom_site_fract_x
_atom_site_fract_y
_atom_site_fract_z
_atom_site_occupancy
Mg1 0.000 0.000 0.000 1
Mg2 0.000 0.500 0.250 1
Rh1 0.000 0.500 0.750 1
Pb1 0.000 0.000 0.500 1